Na3H4Se (PBE, relaxed); calculated total energy = -23.1 eV per cell; spin magnetization = 0.0000 μB/atom; N(E_F) = 0.67 states/eV per cell
1.0
7.965 -1.910 0.000
7.965 1.910 0.000
-0.046 0.000 4.853
Na H Se
3 4 1
Direct
0.000 0.000 0.000
0.143 0.143 0.504
0.857 0.857 0.496
0.297 0.297 0.083
0.297 0.297 0.922
0.703 0.703 0.078
0.703 0.703 0.917
0.500 0.500 0.500

=====

NaTa2HSe (PBE, relaxed); calculated total energy = -18.7 eV per cell; spin magnetization = 0.0001 μB/atom; N(E_F) = 6.15 states/eV per cell
1.0
4.781 0.000 0.000
0.000 4.781 0.000
0.000 0.000 4.749
Na Ta H Se
1 2 1 1
Direct
0.000 0.000 0.000
0.000 0.500 0.000
0.500 0.000 0.000
0.500 0.500 0.500
0.000 0.000 0.500

=====

NaTiHSe2 (PBE, relaxed); calculated total energy = -47.5 eV per cell; spin magnetization = 0.0000 μB/atom; N(E_F) = 0.06 states/eV per cell
1.0
6.638 0.000 0.000
0.000 3.619 0.000
-2.671 0.000 8.118
Na Ti H Se
2 2 2 4
Direct
0.151 0.250 0.308
0.849 0.750 0.692
0.343 0.250 0.824
0.657 0.750 0.176
0.059 0.250 0.755
0.941 0.750 0.245
0.262 0.750 0.016
0.336 0.750 0.619
0.664 0.250 0.381
0.738 0.250 0.984